Record 1
Here is Ac7Ag2Pt2 after structural relaxation from Alexandria. Energies are from PBE.

Calculated values
Energy above the most stable polymorph in this dataset in meV/atom: 0
Calculated volume in Å³/atom: 34.94
Formation energy in kJ per mole of atoms: -49.4
SG: Imm2, No. 44

abc: 10.3522 10.3522 10.3522
angles: 156.44 66.17 119.17
Last column: nearest neighbours and their distance in Å.
Fractional coordinates of all 11 atoms:
Ac: 0.0000 0.0000 0.0000  2 Pt 3.09
Ac: 0.1129 0.4232 0.6897  3 Ag 3.19-3.26
Ac: 0.1762 0.7906 0.3857  2 Pt 3.05, 2 Ag 3.42
Ac: 0.4049 0.7906 0.6143  2 Pt 3.05, 2 Ag 3.42
Ac: 0.5295 0.6352 0.8943  3 Pt 3.21-3.22, 2 Ag 3.43
Ac: 0.7336 0.4232 0.3103  3 Ag 3.19-3.26
Ac: 0.7410 0.6352 0.1057  3 Pt 3.21-3.22, 2 Ag 3.43
Ag: 0.3745 0.1363 0.2382  7 Ac 3.19-3.43
Ag: 0.8982 0.1363 0.7618  7 Ac 3.19-3.43
Pt: 0.3825 0.3825 0.0000  6 Ac 3.05-3.22
Pt: 0.7854 0.2854 0.5000  6 Ac 3.09-3.21

Record 2
Here is YTm2ScTl2 after structural relaxation from Alexandria. Energies are from PBE.

Calculated values
Calculated volume in Å³/atom: 27.19
Formation energy in kJ per mole of atoms: -25.5
SG: Pmc2_1, No. 26

abc: 4.9124 9.6735 6.8659
angles: 90.00 90.00 90.00
Last column: nearest neighbours and their distance in Å.
Fractional coordinates of all 12 atoms:
Y: 0.0000 0.0496 0.0000  5 Tl 3.17-3.34, 2 Sc 3.47
Y: 0.0000 0.9504 0.5000  5 Tl 3.17-3.34, 2 Sc 3.47
Tm: 0.0000 0.3099 0.3946  4 Tl 3.12-3.17, 2 Tm 3.45, 2 Sc 3.45
Tm: 0.0000 0.6901 0.8946  4 Tl 3.12-3.17, 2 Tm 3.45, 2 Sc 3.45
Tm: 0.5000 0.4510 0.1031  5 Tl 3.15-3.44, 2 Tm 3.45, 1 Sc 3.48
Tm: 0.5000 0.5490 0.6031  5 Tl 3.15-3.44, 2 Tm 3.45, 1 Sc 3.48
Sc: 0.5000 0.1980 0.7113  4 Tl 3.09-3.11, 2 Tm 3.45
Sc: 0.5000 0.8020 0.2113  4 Tl 3.09-3.11, 2 Tm 3.45
Tl: 0.0000 0.3674 0.8419  2 Sc 3.09, 6 Tm 3.12-3.44, 1 Y 3.26
Tl: 0.0000 0.6326 0.3419  2 Sc 3.09, 6 Tm 3.12-3.44, 1 Y 3.26
Tl: 0.5000 0.1209 0.2728  2 Sc 3.10-3.11, 4 Y 3.17-3.34, 3 Tm 3.17-3.40
Tl: 0.5000 0.8791 0.7728  2 Sc 3.10-3.11, 4 Y 3.17-3.34, 3 Tm 3.17-3.40

Record 3
Here is ThSi2Au6 after structural relaxation from Alexandria. Energies are from PBE.

Calculated values
Calculated volume in Å³/atom: 18.81
Formation energy from raw total energies in meV/atom: -329
SG: P4/mmm, No. 123

abc: 4.3203 4.3203 9.0714
angles: 90.00 90.00 90.00
Last column: nearest neighbours and their distance in Å.
Fractional coordinates of all 9 atoms:
Th: 0.0000 0.0000 0.0000  8 Si 3.27, 8 Au 3.29
Si: 0.5000 0.5000 0.1278  1 Si 2.32, 4 Au 2.53
Si: 0.5000 0.5000 0.8722  1 Si 2.32, 4 Au 2.53
Au: 0.0000 0.0000 0.5000  12 Au 2.98-3.05
Au: 0.0000 0.5000 0.2737  2 Si 2.53
Au: 0.0000 0.5000 0.7263  2 Si 2.53
Au: 0.5000 0.0000 0.2737  2 Si 2.53
Au: 0.5000 0.0000 0.7263  2 Si 2.53
Au: 0.5000 0.5000 0.5000  12 Au 2.98-3.05

Record 4
Here is Re8Ir after structural relaxation from Alexandria. Energies are from PBE.

Calculated values
Calculated volume in Å³/atom: 14.94
Formation energy in kJ per mole of atoms: 1.3
SG: I4/mmm, No. 139

abc: 6.1891 6.1891 6.1891
angles: 95.68 95.68 143.31
Last column: nearest neighbours and their distance in Å.
Fractional coordinates of all 9 atoms:
Re: 0.0000 0.3307 0.3307  1 Ir 2.75, 11 Re 2.75-2.81
Re: 0.0000 0.6693 0.6693  1 Ir 2.75, 11 Re 2.75-2.81
Re: 0.3307 0.0000 0.3307  1 Ir 2.75, 11 Re 2.75-2.81
Re: 0.3340 0.3340 0.6680  10 Re 2.75-2.78, 2 Ir 2.76
Re: 0.3340 0.6660 0.0000  10 Re 2.75-2.78, 2 Ir 2.76
Re: 0.6660 0.3340 0.0000  10 Re 2.75-2.78, 2 Ir 2.76
Re: 0.6660 0.6660 0.3320  10 Re 2.75-2.78, 2 Ir 2.76
Re: 0.6693 0.0000 0.6693  1 Ir 2.75, 11 Re 2.75-2.81
Ir: 0.0000 0.0000 0.0000  12 Re 2.75-2.76

Record 5
Here is V2Ni4Pt after structural relaxation from Alexandria. Energies are from PBE.

Calculated values
Energy above the most stable polymorph in this dataset in meV/atom: 0
Calculated volume in Å³/atom: 12.25
Formation energy in kJ per mole of atoms: -18.0
SG: Immm, No. 71

abc: 2.5923 3.8892 17.0168
angles: 90.00 90.00 90.00
Last column: nearest neighbours and their distance in Å.
Fractional coordinates of all 14 atoms:
V: 0.0000 0.0000 0.0881  6 Ni 2.54-2.70, 2 V 2.59, 4 Pt 2.78
V: 0.0000 0.0000 0.9119  6 Ni 2.54-2.70, 2 V 2.59, 4 Pt 2.78
V: 0.5000 0.5000 0.4119  6 Ni 2.54-2.70, 2 V 2.59, 4 Pt 2.78
V: 0.5000 0.5000 0.5881  6 Ni 2.54-2.70, 2 V 2.59, 4 Pt 2.78
Ni: 0.0000 0.0000 0.3531  6 Ni 2.38-2.59, 1 Pt 2.50, 4 V 2.54
Ni: 0.0000 0.0000 0.6469  6 Ni 2.38-2.59, 1 Pt 2.50, 4 V 2.54
Ni: 0.0000 0.5000 0.2729  10 Ni 2.38-2.59
Ni: 0.0000 0.5000 0.7271  10 Ni 2.38-2.59
Ni: 0.5000 0.0000 0.2271  10 Ni 2.38-2.59
Ni: 0.5000 0.0000 0.7729  10 Ni 2.38-2.59
Ni: 0.5000 0.5000 0.1469  6 Ni 2.38-2.59, 1 Pt 2.50, 4 V 2.54
Ni: 0.5000 0.5000 0.8531  6 Ni 2.38-2.59, 1 Pt 2.50, 4 V 2.54
Pt: 0.0000 0.0000 0.5000  2 Ni 2.50, 2 Pt 2.59, 8 V 2.78
Pt: 0.5000 0.5000 0.0000  2 Ni 2.50, 2 Pt 2.59, 8 V 2.78

Record 6
Here is Cd2Ga2P after structural relaxation from Alexandria. Energies are from PBE.

Calculated values
Calculated volume in Å³/atom: 21.31
Formation energy in kJ per mole of atoms: 15.3
SG: P4/mbm, No. 127

abc: 6.5206 6.5206 5.0110
angles: 90.00 90.00 90.00
Last column: nearest neighbours and their distance in Å.
Fractional coordinates of all 10 atoms:
Cd: 0.1767 0.3233 0.0000  6 Ga 3.02-3.26, 1 Cd 3.26
Cd: 0.3233 0.8233 0.0000  6 Ga 3.02-3.26, 1 Cd 3.26
Cd: 0.6767 0.1767 0.0000  6 Ga 3.02-3.26, 1 Cd 3.26
Cd: 0.8233 0.6767 0.0000  6 Ga 3.02-3.26, 1 Cd 3.26
Ga: 0.1414 0.6414 0.5000  2 P 2.51, 1 Ga 2.61
Ga: 0.3586 0.1414 0.5000  2 P 2.51, 1 Ga 2.61
Ga: 0.6414 0.8586 0.5000  2 P 2.51, 1 Ga 2.61
Ga: 0.8586 0.3586 0.5000  2 P 2.51, 1 Ga 2.61
P: 0.0000 0.0000 0.5000  4 Ga 2.51
P: 0.5000 0.5000 0.5000  4 Ga 2.51

Record 7
Here is ErScGe after structural relaxation from Alexandria. Energies are from PBE.

Calculated values
Energy above the most stable polymorph in this dataset in meV/atom: 0
Calculated volume in Å³/atom: 22.83
Formation energy in kJ per mole of atoms: -68.6
SG: P4/nmm, No. 129

abc: 4.1965 4.1965 7.7783
angles: 90.00 90.00 90.00
Last column: nearest neighbours and their distance in Å.
Fractional coordinates of all 6 atoms:
Er: 0.2500 0.2500 0.1487  5 Ge 3.00-3.05
Er: 0.7500 0.7500 0.8513  5 Ge 3.00-3.05
Sc: 0.2500 0.7500 0.5000  4 Ge 2.93, 4 Sc 2.97
Sc: 0.7500 0.2500 0.5000  4 Ge 2.93, 4 Sc 2.97
Ge: 0.2500 0.2500 0.7625  4 Sc 2.93, 5 Er 3.00-3.05
Ge: 0.7500 0.7500 0.2375  4 Sc 2.93, 5 Er 3.00-3.05

Record 8
Here is Tb3Dy6Y2Sc after structural relaxation from Alexandria. Energies are from PBE.

Calculated values
Calculated volume in Å³/atom: 31.05
Formation energy in kJ per mole of atoms: 2.6
SG: C2/m, No. 12

abc: 6.1113 6.1113 11.6904
angles: 94.98 94.98 119.95
Last column: nearest neighbours and their distance in Å.
Fractional coordinates of all 12 atoms:
Tb: 0.0000 0.0000 0.0000  6 Tb 3.53, 6 Dy 3.54-3.55
Tb: 0.3335 0.6666 0.0000  6 Tb 3.53, 6 Dy 3.54-3.56
Tb: 0.6666 0.3335 0.0000  6 Tb 3.53, 6 Dy 3.54-3.56
Dy: 0.0877 0.4180 0.2523  1 Sc 3.49, 6 Dy 3.50-3.55, 2 Y 3.51, 3 Tb 3.54-3.56
Dy: 0.2518 0.2518 0.7479  1 Sc 3.50, 6 Dy 3.50-3.55, 2 Y 3.51, 3 Tb 3.54-3.55
Dy: 0.4180 0.0877 0.2523  1 Sc 3.49, 6 Dy 3.50-3.55, 2 Y 3.51, 3 Tb 3.54-3.56
Dy: 0.5820 0.9123 0.7477  1 Sc 3.49, 6 Dy 3.50-3.55, 2 Y 3.51, 3 Tb 3.54-3.56
Dy: 0.7482 0.7482 0.2521  1 Sc 3.50, 6 Dy 3.50-3.55, 2 Y 3.51, 3 Tb 3.54-3.55
Dy: 0.9123 0.5820 0.7477  1 Sc 3.49, 6 Dy 3.50-3.55, 2 Y 3.51, 3 Tb 3.54-3.56
Y: 0.1665 0.8335 0.5000  6 Dy 3.51, 3 Y 3.52-3.53, 3 Sc 3.53
Y: 0.8335 0.1665 0.5000  6 Dy 3.51, 3 Y 3.52-3.53, 3 Sc 3.53
Sc: 0.5000 0.5000 0.5000  6 Dy 3.49-3.50, 6 Y 3.53

Record 9
Here is NbFe2H3 after structural relaxation from Alexandria. Energies are from PBE.

Calculated values
Total DFT energy (no corrections) in eV/atom: -6.205
Calculated volume in Å³/atom: 7.64
SG: P2_1/c, No. 14

abc: 3.9231 8.3186 5.6152
angles: 90.00 90.00 90.00
Last column: nearest neighbours and their distance in Å.
Fractional coordinates of all 24 atoms:
Nb: 0.2501 0.0894 0.1410  6 H 1.94-2.12
Nb: 0.2501 0.4106 0.6410  6 H 1.94-2.12
Nb: 0.7499 0.5894 0.3590  6 H 1.94-2.12
Nb: 0.7499 0.9106 0.8590  6 H 1.94-2.12
Fe: 0.2502 0.0804 0.6200  3 H 1.71-1.84
Fe: 0.2502 0.4196 0.1200  3 H 1.71-1.84
Fe: 0.2501 0.7490 0.6249  5 H 1.85-2.07
Fe: 0.2501 0.7510 0.1249  5 H 1.85-2.07
Fe: 0.7499 0.2490 0.8751  5 H 1.85-2.07
Fe: 0.7499 0.2510 0.3751  5 H 1.85-2.07
Fe: 0.7498 0.5804 0.8800  3 H 1.71-1.84
Fe: 0.7498 0.9196 0.3800  3 H 1.71-1.84
H: 0.2461 0.2326 0.4148  1 Fe 1.71
H: 0.2461 0.2674 0.9148  1 Fe 1.71
H: 0.2500 0.5686 0.3438  2 Fe 1.76-1.95, 2 Nb 1.97
H: 0.2500 0.9314 0.8438  2 Fe 1.76-1.95, 2 Nb 1.97
H: 0.2519 0.5860 0.9037  4 Fe 1.84-1.97
H: 0.2519 0.9140 0.4037  4 Fe 1.84-1.97
H: 0.7481 0.0860 0.5963  4 Fe 1.84-1.97
H: 0.7481 0.4140 0.0963  4 Fe 1.84-1.97
H: 0.7500 0.0686 0.1562  2 Fe 1.76-1.95, 2 Nb 1.97
H: 0.7500 0.4314 0.6562  2 Fe 1.76-1.95, 2 Nb 1.97
H: 0.7539 0.7326 0.0852  1 Fe 1.71
H: 0.7539 0.7674 0.5852  1 Fe 1.71

Record 10
Here is TlCu5 after structural relaxation from Alexandria. Energies are from PBE.

Calculated values
Calculated volume in Å³/atom: 14.04
Formation energy in kJ per mole of atoms: 15.5
SG: C2/m, No. 12

abc: 8.2538 3.8891 5.4692
angles: 90.00 106.28 90.00
Last column: nearest neighbours and their distance in Å.
Fractional coordinates of all 12 atoms:
Tl: 0.0000 0.0000 0.0000  12 Cu 2.72-2.83
Tl: 0.5000 0.5000 0.0000  12 Cu 2.72-2.83
Cu: 0.0000 0.0000 0.5000  10 Cu 2.57-2.69, 2 Tl 2.73
Cu: 0.1589 0.5000 0.7974  6 Cu 2.49-2.66, 3 Tl 2.72-2.75
Cu: 0.1762 0.5000 0.3494  9 Cu 2.49-2.69
Cu: 0.3238 0.0000 0.6506  9 Cu 2.49-2.69
Cu: 0.3411 0.0000 0.2026  6 Cu 2.49-2.66, 3 Tl 2.72-2.75
Cu: 0.5000 0.5000 0.5000  10 Cu 2.57-2.69, 2 Tl 2.73
Cu: 0.6589 0.0000 0.7974  6 Cu 2.49-2.66, 3 Tl 2.72-2.75
Cu: 0.6762 0.0000 0.3494  9 Cu 2.49-2.69
Cu: 0.8238 0.5000 0.6506  9 Cu 2.49-2.69
Cu: 0.8411 0.5000 0.2026  6 Cu 2.49-2.66, 3 Tl 2.72-2.75

Record 11
Here is Rb2SiTe4Pb after structural relaxation from Alexandria. Energies are from PBE.

Calculated values
Calculated volume in Å³/atom: 36.73
Formation energy from raw total energies in meV/atom: -341
SG: Imma, No. 74

abc: 9.4598 9.4598 9.4598
angles: 126.17 114.52 89.70
Last column: nearest neighbours and their distance in Å.
Fractional coordinates of all 16 atoms:
Rb: 0.0000 0.0000 0.0000  6 Te 3.46-3.48
Rb: 0.5000 0.0000 0.0000  6 Te 3.84-3.96, 2 Rb 4.28
Rb: 0.5000 0.0000 0.5000  6 Te 3.46-3.48
Rb: 0.5000 0.5000 0.5000  6 Te 3.84-3.96, 2 Rb 4.28
Si: 0.0000 0.0000 0.5000  6 Te 2.75-2.88
Si: 0.0000 0.5000 0.0000  6 Te 2.75-2.88
Te: 0.1833 0.7447 0.4385  2 Si 2.88
Te: 0.1938 0.2553 0.9385  2 Si 2.88
Te: 0.2046 0.2173 0.5126  1 Si 2.75
Te: 0.2046 0.6920 0.9874  1 Si 2.75
Te: 0.7954 0.3080 0.0126  1 Si 2.75
Te: 0.7954 0.7827 0.4874  1 Si 2.75
Te: 0.8062 0.7447 0.0615  2 Si 2.88
Te: 0.8167 0.2553 0.5615  2 Si 2.88
Pb: 0.0000 0.5000 0.5000  6 Te 3.32-3.34
Pb: 0.5000 0.5000 0.0000  6 Te 3.32-3.34

> The highest calculated volume belongs to which entry?

Rb2SiTe4Pb

> The lowest calculated volume belongs to which entry?

NbFe2H3